(1)
! ZrTcRh2 PBE optimized geometry; values from VASP
&SYSTEM
  ibrav = 0, nat = 4, ntyp = 3
/
ATOMIC_SPECIES
Zr 91.22 Zr.upf
Tc 98.00 Tc.upf
Rh 102.91 Rh.upf
CELL_PARAMETERS angstrom
-1.414 -4.547 0.712
4.791 0.004 -0.477
0.282 0.354 2.828
ATOMIC_POSITIONS crystal
Zr 0.000 0.500 0.500
Tc 0.500 0.000 0.500
Rh 0.500 0.500 0.000
Rh 0.000 0.000 0.000
! ΔH_f (0 K)	-0.35	eV per atom
! volume	15.79	Å³/atom



(2)
! NaAcTbSe3 PBE optimized geometry; values from VASP
&SYSTEM
  ibrav = 0, nat = 12, ntyp = 4
/
ATOMIC_SPECIES
Tb 158.93 Tb.upf
Na 22.99 Na.upf
Se 78.96 Se.upf
Ac 227.00 Ac.upf
CELL_PARAMETERS angstrom
-2.173 3.673 0.208
-7.160 -4.119 -2.070
0.553 -0.207 9.428
ATOMIC_POSITIONS crystal
Tb 0.250 0.669 0.149
Tb 0.750 0.331 0.851
Na 0.750 0.901 0.412
Se 0.250 0.097 0.878
Se 0.750 0.903 0.122
Ac 0.250 0.208 0.232
Se 0.250 0.552 0.832
Se 0.750 0.256 0.503
Se 0.250 0.744 0.497
Ac 0.750 0.792 0.768
Na 0.250 0.099 0.588
Se 0.750 0.448 0.168
! E	-60.01	eV for the cell shown
! volume	27.49	Å³/atom



(3)
! Ga2Co2Se PBE optimized geometry; values from VASP
&SYSTEM
  ibrav = 0, nat = 10, ntyp = 3
/
ATOMIC_SPECIES
Co 58.93 Co.upf
Ga 69.72 Ga.upf
Se 78.96 Se.upf
CELL_PARAMETERS angstrom
6.990 0.000 0.000
0.000 6.990 0.000
0.000 0.000 2.843
ATOMIC_POSITIONS crystal
Co 0.841 0.659 0.000
Co 0.659 0.159 0.000
Ga 0.138 0.638 0.500
Se 0.500 0.500 0.000
Ga 0.638 0.862 0.500
Co 0.159 0.341 0.000
Ga 0.362 0.138 0.500
Co 0.341 0.841 0.000
Se 0.000 0.000 0.000
Ga 0.862 0.362 0.500
! E	-47.76	eV for the cell shown
! volume	13.89	Å³/atom



(4)
! Ba3U2Se9 PBE optimized geometry; values from VASP
&SYSTEM
  ibrav = 0, nat = 28, ntyp = 3
/
ATOMIC_SPECIES
Se 78.96 Se.upf
U 238.03 U.upf
Ba 137.33 Ba.upf
CELL_PARAMETERS angstrom
9.508 0.156 1.021
0.933 9.463 1.021
0.169 0.156 9.561
ATOMIC_POSITIONS crystal
Se 0.581 0.919 0.750
U 0.153 0.153 0.153
Se 0.095 0.737 0.921
U 0.847 0.847 0.847
U 0.347 0.347 0.347
Se 0.079 0.905 0.263
Se 0.405 0.579 0.763
Ba 0.583 0.250 0.917
Se 0.737 0.921 0.095
U 0.653 0.653 0.653
Se 0.263 0.079 0.905
Se 0.905 0.263 0.079
Ba 0.250 0.917 0.583
Ba 0.917 0.583 0.250
Ba 0.083 0.417 0.750
Se 0.919 0.750 0.581
Se 0.750 0.581 0.919
Ba 0.417 0.750 0.083
Se 0.250 0.419 0.081
Se 0.419 0.081 0.250
Se 0.081 0.250 0.419
Se 0.921 0.095 0.737
Se 0.237 0.595 0.421
Se 0.421 0.237 0.595
Ba 0.750 0.083 0.417
Se 0.595 0.421 0.237
Se 0.763 0.405 0.579
Se 0.579 0.763 0.405
! E	-158.52	eV for the cell shown
! volume	30.57	Å³/atom



(5)
! PaTlPt2 PBE optimized geometry; values from VASP
&SYSTEM
  ibrav = 0, nat = 4, ntyp = 3
/
ATOMIC_SPECIES
Tl 204.38 Tl.upf
Pt 195.08 Pt.upf
Pa 231.04 Pa.upf
CELL_PARAMETERS angstrom
-3.133 3.458 1.488
-3.840 1.193 -2.797
-4.528 -1.236 1.400
ATOMIC_POSITIONS crystal
Tl 0.000 0.000 0.000
Pt 0.750 0.750 0.750
Pt 0.250 0.250 0.250
Pa 0.500 0.500 0.500
! ΔH_f (0 K)	-0.61	eV per atom
! volume	20.77	Å³/atom



(6)
! TaCdCo2Cu PBE optimized geometry; values from VASP
&SYSTEM
  ibrav = 0, nat = 5, ntyp = 4
/
ATOMIC_SPECIES
Co 58.93 Co.upf
Cu 63.55 Cu.upf
Cd 112.41 Cd.upf
Ta 180.95 Ta.upf
CELL_PARAMETERS angstrom
4.458 0.000 0.000
0.000 4.831 0.000
0.000 0.000 4.458
ATOMIC_POSITIONS crystal
Co 0.500 0.000 0.000
Co 0.000 0.000 0.500
Cu 0.000 0.500 0.000
Cd 0.500 0.500 0.500
Ta 0.000 0.000 0.000
! ΔH_f (0 K)	1.23	eV per atom
! volume	19.20	Å³/atom



(7)
! Pr3Sn2Pd5 PBE optimized geometry; values from VASP
&SYSTEM
  ibrav = 0, nat = 20, ntyp = 3
/
ATOMIC_SPECIES
Pd 106.42 Pd.upf
Sn 118.71 Sn.upf
Pr 140.91 Pr.upf
CELL_PARAMETERS angstrom
-5.341 -1.994 -1.901
-1.395 -8.607 3.452
-6.580 2.771 6.081
ATOMIC_POSITIONS crystal
Pd 0.639 0.230 0.492
Pd 0.250 0.500 0.500
Pd 0.987 0.763 0.763
Pd 0.487 0.763 0.763
Pd 0.361 0.770 0.508
Sn 0.640 0.026 0.694
Pd 0.513 0.237 0.237
Sn 0.360 0.974 0.306
Pd 0.861 0.508 0.770
Pr 0.750 0.000 0.000
Pr 0.398 0.414 0.790
Pr 0.602 0.586 0.210
Pd 0.013 0.237 0.237
Pr 0.898 0.790 0.414
Pd 0.750 0.500 0.500
Pr 0.102 0.210 0.586
Sn 0.140 0.694 0.026
Sn 0.860 0.306 0.974
Pd 0.139 0.492 0.230
Pr 0.250 0.000 0.000
! ΔH_f (0 K)	-0.53	eV per atom
! volume	23.70	Å³/atom



(8)
! TmPuCd2Hg4 PBE optimized geometry; values from VASP
&SYSTEM
  ibrav = 0, nat = 8, ntyp = 4
/
ATOMIC_SPECIES
Tm 168.93 Tm.upf
Cd 112.41 Cd.upf
Hg 200.59 Hg.upf
Pu 244.00 Pu.upf
CELL_PARAMETERS angstrom
-2.462 0.518 4.444
2.400 -1.044 4.385
2.541 7.782 3.435
ATOMIC_POSITIONS crystal
Tm 0.500 0.500 0.500
Cd 0.251 0.251 0.247
Hg 0.378 0.378 0.867
Pu 0.000 0.000 0.000
Hg 0.127 0.127 0.618
Hg 0.873 0.873 0.382
Hg 0.622 0.622 0.133
Cd 0.749 0.749 0.753
! ΔH_f (0 K)	-0.24	eV per atom
! volume	23.64	Å³/atom



(9)
! Tb2TmAg3Se6 PBE optimized geometry; values from VASP
&SYSTEM
  ibrav = 0, nat = 12, ntyp = 4
/
ATOMIC_SPECIES
Ag 107.87 Ag.upf
Se 78.96 Se.upf
Tb 158.93 Tb.upf
Tm 168.93 Tm.upf
CELL_PARAMETERS angstrom
-2.947 1.506 -2.540
4.287 -2.441 -6.421
-3.434 -7.915 2.716
ATOMIC_POSITIONS crystal
Ag 0.500 0.500 0.000
Se 0.000 0.758 0.000
Se 0.336 0.920 0.671
Ag 0.830 0.178 0.659
Tb 0.167 0.328 0.333
Ag 0.170 0.822 0.341
Se 0.334 0.424 0.668
Tb 0.833 0.672 0.667
Se 0.664 0.080 0.329
Tm 0.500 0.000 0.000
Se 0.000 0.242 0.000
Se 0.666 0.576 0.332
! E	-57.15	eV for the cell shown
! volume	24.37	Å³/atom



(10)
! Ta2VCo2Ru5 PBE optimized geometry; values from VASP
&SYSTEM
  ibrav = 0, nat = 20, ntyp = 4
/
ATOMIC_SPECIES
Ru 101.07 Ru.upf
Co 58.93 Co.upf
Ta 180.95 Ta.upf
V 50.94 V.upf
CELL_PARAMETERS angstrom
3.821 0.000 0.000
0.000 8.667 0.000
0.000 0.000 8.667
ATOMIC_POSITIONS crystal
Ru 0.500 0.698 0.427
Co 0.000 0.869 0.369
Ru 0.500 0.802 0.927
Ta 0.000 0.837 0.663
Ru 0.500 0.073 0.802
Co 0.000 0.131 0.631
Co 0.000 0.369 0.131
Ru 0.500 0.573 0.698
V 0.000 0.000 0.000
Ru 0.500 0.000 0.500
Ta 0.000 0.337 0.837
Ru 0.500 0.927 0.198
Ta 0.000 0.163 0.337
Ta 0.000 0.663 0.163
Ru 0.500 0.302 0.573
V 0.000 0.500 0.500
Ru 0.500 0.500 0.000
Ru 0.500 0.427 0.302
Co 0.000 0.631 0.869
Ru 0.500 0.198 0.073
! ΔH_f (0 K)	-0.04	eV per atom
! volume	14.35	Å³/atom



(11)
! Ba2HfTaPb PBE optimized geometry; values from VASP
&SYSTEM
  ibrav = 0, nat = 5, ntyp = 4
/
ATOMIC_SPECIES
Ta 180.95 Ta.upf
Hf 178.49 Hf.upf
Pb 207.20 Pb.upf
Ba 137.33 Ba.upf
CELL_PARAMETERS angstrom
6.170 0.000 0.000
0.000 5.137 0.000
0.000 0.000 6.170
ATOMIC_POSITIONS crystal
Ta 0.000 0.000 0.000
Hf 0.000 0.500 0.000
Pb 0.500 0.500 0.500
Ba 0.500 0.000 0.000
Ba 0.000 0.000 0.500
! ΔH_f (0 K)	0.88	eV per atom
! volume	39.11	Å³/atom



(12)
! CuAgBr PBE optimized geometry; values from VASP
&SYSTEM
  ibrav = 0, nat = 3, ntyp = 3
/
ATOMIC_SPECIES
Br 79.90 Br.upf
Cu 63.55 Cu.upf
Ag 107.87 Ag.upf
CELL_PARAMETERS angstrom
6.675 -0.011 0.007
5.402 3.158 0.011
1.272 -1.194 2.935
ATOMIC_POSITIONS crystal
Br 0.316 0.316 0.684
Cu 0.671 0.671 0.329
Ag 0.013 0.013 0.987
! E	-8.04	eV for the cell shown
! volume	20.69	Å³/atom



(13)
! La2SbRh PBE optimized geometry; values from VASP
&SYSTEM
  ibrav = 0, nat = 4, ntyp = 3
/
ATOMIC_SPECIES
La 138.91 La.upf
Sb 121.76 Sb.upf
Rh 102.91 Rh.upf
CELL_PARAMETERS angstrom
4.412 0.000 0.000
0.000 4.394 0.002
0.000 2.195 5.804
ATOMIC_POSITIONS crystal
La 0.000 0.096 0.933
Sb 0.500 0.674 0.777
Rh 0.000 0.846 0.433
La 0.500 0.384 0.356
! E	-25.01	eV for the cell shown
! volume	28.13	Å³/atom



(14)
! BaTmMg PBE optimized geometry; values from VASP
&SYSTEM
  ibrav = 0, nat = 3, ntyp = 3
/
ATOMIC_SPECIES
Ba 137.33 Ba.upf
Mg 24.30 Mg.upf
Tm 168.93 Tm.upf
CELL_PARAMETERS angstrom
3.987 0.000 0.000
0.000 3.987 0.000
-1.994 -1.994 6.871
ATOMIC_POSITIONS crystal
Ba 0.010 0.010 0.020
Mg 0.687 0.687 0.375
Tm 0.302 0.302 0.605
! ΔH_f (0 K)	0.11	eV per atom
! volume	36.41	Å³/atom



(15)
! PdRuIO2 PBE optimized geometry; values from VASP
&SYSTEM
  ibrav = 0, nat = 5, ntyp = 4
/
ATOMIC_SPECIES
Pd 106.42 Pd.upf
O 16.00 O.upf
I 126.90 I.upf
Ru 101.07 Ru.upf
CELL_PARAMETERS angstrom
-3.423 -0.411 -1.591
-0.444 -3.309 1.808
-2.566 2.945 4.760
ATOMIC_POSITIONS crystal
Pd 0.500 0.500 0.500
O 0.000 0.500 0.000
O 0.500 0.000 0.000
I 0.000 0.000 0.500
Ru 0.000 0.000 0.000
! E	-27.32	eV for the cell shown
! volume	17.75	Å³/atom



(16)
! CrHgIr2 PBE optimized geometry; values from VASP
&SYSTEM
  ibrav = 0, nat = 4, ntyp = 3
/
ATOMIC_SPECIES
Hg 200.59 Hg.upf
Cr 52.00 Cr.upf
Ir 192.22 Ir.upf
CELL_PARAMETERS angstrom
-1.979 -3.796 -1.394
0.601 -1.432 -4.225
2.482 -3.669 -0.801
ATOMIC_POSITIONS crystal
Hg 0.750 0.750 0.750
Cr 0.500 0.500 0.500
Ir 0.000 0.000 0.000
Ir 0.250 0.250 0.250
! ΔH_f (0 K)	0.56	eV per atom
! volume	16.12	Å³/atom



In order of appearance, total magnetization = 0.000; 0.001; 0.000; 0.190; 0.000; 0.000; 0.003; 5.587; 0.000; 0.006; 0.000; 0.000; 0.000; 0.000; 0.583; 2.230 Bohr magnetons per cell.